No. 1
A plane-wave DFT calculation with PBE was carried out for a geometry-optimized Er3Tm3Tl2Rh structure.

## Properties
**Space-group type**: P-62m
**E_tot**: -0.3504 Ry/atom
**DFT formation energy**: -414 meV per atom

abc: 3.813 8.558 8.558
angles: 120.00 90.00 90.00
Element x y z (fractional)
1 Tm 0.500 0.000 0.760
2 Tm 0.500 0.760 0.000
3 Tm 0.500 0.240 0.240
4 Rh 0.000 0.000 0.000
5 Er 0.000 0.393 0.000
6 Er 0.000 0.607 0.607
7 Er 0.000 0.000 0.393
8 Tl 0.500 0.333 0.667
9 Tl 0.500 0.667 0.333

***

No. 2
A plane-wave DFT calculation with PBE was carried out for a geometry-optimized ErTmRh2 structure.

## Properties
**Space-group type**: P4/mmm
**E_tot**: -0.5062 Ry/atom
**DFT formation energy**: -953 meV per atom

abc: 3.472 4.728 4.728
angles: 90.00 90.00 90.00
Element x y z (fractional)
1 Rh 0.000 0.500 0.000
2 Rh 0.000 0.000 0.500
3 Tm 0.500 0.000 0.000
4 Er 0.500 0.500 0.500

***

No. 3
A plane-wave DFT calculation with PBE was carried out for a geometry-optimized ErTmRh4 structure.

## Properties
**Space-group type**: F-43m
**E_tot**: -0.5269 Ry/atom
**DFT formation energy**: -762 meV per atom

abc: 5.309 5.309 5.309
angles: 60.00 60.00 60.00
Element x y z (fractional)
1 Rh 0.125 0.625 0.625
2 Rh 0.625 0.125 0.625
3 Rh 0.625 0.625 0.125
4 Rh 0.625 0.625 0.625
5 Er 0.000 0.000 0.000
6 Tm 0.250 0.250 0.250

***

No. 4
A plane-wave DFT calculation with PBE was carried out for a geometry-optimized ErTm3Rh4 structure.

## Properties
**Space-group type**: P4/mmm
**E_tot**: -0.5059 Ry/atom
**DFT formation energy**: -960 meV per atom

abc: 4.812 6.676 9.624
angles: 90.00 90.00 90.00
Element x y z (fractional)
1 Tm 0.500 0.500 0.250
2 Tm 0.500 0.000 0.750
3 Tm 0.500 0.500 0.750
4 Tm 0.000 0.000 0.500
5 Tm 0.000 0.000 0.000
6 Tm 0.500 0.000 0.250
7 Rh 0.000 0.249 0.750
8 Rh 0.500 0.249 0.500
9 Rh 0.500 0.751 0.500
10 Rh 0.500 0.249 0.000
11 Rh 0.000 0.751 0.250
12 Rh 0.000 0.249 0.250
13 Rh 0.000 0.751 0.750
14 Rh 0.500 0.751 0.000
15 Er 0.000 0.500 0.000
16 Er 0.000 0.500 0.500

***

No. 5
A plane-wave DFT calculation with PBE was carried out for a geometry-optimized ErTmRh structure.

## Properties
**Space-group type**: F-43m
**E_tot**: -0.4484 Ry/atom
**DFT formation energy**: -638 meV per atom
**ΔE to the lowest computed polymorph**: 40 meV per atom

abc: 4.755 4.755 4.755
angles: 60.00 60.00 60.00
Element x y z (fractional)
1 Er 0.500 0.500 0.500
2 Rh 0.250 0.250 0.250
3 Tm 0.000 0.000 0.000

***

No. 6
A plane-wave DFT calculation with PBE was carried out for a geometry-optimized Er3TmRh2 structure.

## Properties
**Space-group type**: C2/m
**E_tot**: -0.4478 Ry/atom
**DFT formation energy**: -615 meV per atom
**ΔE to the lowest computed polymorph**: 80 meV per atom

abc: 4.235 8.214 10.287
angles: 67.58 78.12 75.06
Element x y z (fractional)
1 Tm 0.428 0.476 0.668
2 Tm 0.572 0.524 0.332
3 Rh 0.617 0.177 0.588
4 Rh 0.862 0.431 0.846
5 Rh 0.383 0.823 0.412
6 Rh 0.138 0.569 0.154
7 Er 0.209 0.174 0.408
8 Er 0.667 0.697 0.969
9 Er 0.333 0.303 0.031
10 Er 0.791 0.826 0.592
11 Er 0.947 0.895 0.212
12 Er 0.053 0.105 0.788

***

No. 7
A plane-wave DFT calculation with PBE was carried out for a geometry-optimized ErTmRh structure.

## Properties
**Space-group type**: P4_2/mmc
**E_tot**: -0.4409 Ry/atom
**DFT formation energy**: -536 meV per atom
**ΔE to the lowest computed polymorph**: 142 meV per atom

abc: 5.482 7.599 7.599
angles: 90.00 90.00 90.00
Element x y z (fractional)
1 Er 0.000 0.743 0.500
2 Er 0.000 0.257 0.500
3 Er 0.500 0.500 0.257
4 Er 0.500 0.500 0.743
5 Rh 0.500 0.220 0.500
6 Rh 0.000 0.500 0.220
7 Rh 0.000 0.500 0.780
8 Rh 0.500 0.780 0.500
9 Tm 0.000 0.774 0.000
10 Tm 0.000 0.226 0.000
11 Tm 0.500 0.000 0.226
12 Tm 0.500 0.000 0.774

***

No. 8
A plane-wave DFT calculation with PBE was carried out for a geometry-optimized ErTmRh structure.

## Properties
**Space-group type**: Pnma
**E_tot**: -0.4513 Ry/atom
**DFT formation energy**: -678 meV per atom
**ΔE to the lowest computed polymorph**: 0 meV per atom

abc: 3.893 7.458 9.977
angles: 90.00 90.00 90.00
Element x y z (fractional)
1 Er 0.250 0.992 0.306
2 Er 0.250 0.492 0.194
3 Er 0.750 0.508 0.806
4 Er 0.750 0.008 0.694
5 Rh 0.250 0.308 0.655
6 Rh 0.250 0.808 0.845
7 Rh 0.750 0.692 0.345
8 Rh 0.750 0.192 0.155
9 Tm 0.250 0.170 0.951
10 Tm 0.250 0.670 0.549
11 Tm 0.750 0.330 0.451
12 Tm 0.750 0.830 0.049